{
  "formula": "GaCo2Cl",
  "functional": "PBE-GGA",
  "state": "optimized geometry",
  "lattice_angstrom": [[0.000, 2.989, 2.989], [2.989, 0.000, 2.989], [2.989, 2.989, 0.000]],
  "species": ["Ga", "Co", "Co", "Cl"],
  "frac_coords": [[0.000, 0.000, 0.000], [0.250, 0.250, 0.250], [0.750, 0.750, 0.750], [0.500, 0.500, 0.500]],
  "spacegroup": "No. 225",
  "formation_energy_uncorrected_ev_per_atom": 0.4922,
  "de_polymorph_mev_per_atom": 101,
  "dos_at_fermi_per_ev_fu": 3.524,
  "rho_g_cm3": 6.9,
  "dft_energy_ev_per_cell": -17.12
}